# 1
Crystalline Tl2PtS at its relaxed geometry, computed with PBE.

```
Tl2PtS
1.0
-3.481 3.481 4.624
3.481 -3.481 4.624
3.481 3.481 -4.624
Tl Pt S
4 2 2
Direct
0.121 0.625 0.996
0.375 0.371 0.496
0.629 0.125 0.004
0.875 0.879 0.504
0.000 0.000 0.000
0.750 0.250 0.500
0.250 0.750 0.500
0.500 0.500 0.000
```

total DFT energy (no corrections)	-14.5	eV/f.u.
distance to the lowest polymorph of the same formula	0	meV per atom
ΔE_f (raw)	0.099	eV per atom



# 2
Crystalline Tb3Dy9Y2 at its relaxed geometry, computed with PBE.

```
Tb3Dy9Y2
1.0
6.239 0.000 0.000
0.391 8.699 0.000
2.191 1.433 8.407
Tb Dy Y
3 9 2
Direct
0.000 0.000 0.000
0.163 0.329 0.196
0.472 0.749 0.556
0.031 0.762 0.367
0.140 0.063 0.562
0.256 0.373 0.769
0.317 0.677 0.973
0.443 0.970 0.169
0.574 0.035 0.771
0.698 0.596 0.202
0.708 0.125 0.369
0.887 0.702 0.783
0.696 0.329 0.969
0.825 0.408 0.564
```

formation enthalpy at 0 K	0.110	eV/atom
total DFT energy (no corrections)	-66.7	eV/f.u.



# 3
Crystalline Pr2SmBr8 at its relaxed geometry, computed with PBE.

```
Pr2SmBr8
1.0
4.458 -6.637 0.000
4.458 6.637 0.000
-1.894 0.000 5.736
Pr Sm Br
2 1 8
Direct
0.189 0.811 0.000
0.811 0.189 0.000
0.500 0.500 0.500
0.141 0.141 0.322
0.170 0.426 0.909
0.279 0.721 0.500
0.426 0.170 0.909
0.574 0.830 0.091
0.721 0.279 0.500
0.830 0.574 0.091
0.859 0.859 0.678
```

total DFT energy (no corrections)	-45.7	eV/f.u.
ΔE_f (raw)	-1.636	eV per atom



# 4
Crystalline HoZrCdAu at its relaxed geometry, computed with PBE.

```
HoZrCdAu
1.0
0.000 3.565 3.565
3.565 0.000 3.565
3.565 3.565 0.000
Ho Zr Cd Au
1 1 1 1
Direct
0.000 0.000 0.000
0.500 0.500 0.500
0.250 0.250 0.250
0.750 0.750 0.750
```

formation enthalpy at 0 K	-0.345	eV/atom
total DFT energy (no corrections)	-18.7	eV/f.u.



| no. | density of states at the Fermi level (states/eV per atom) |
| --- | --- |
| 1 | 0.001 |
| 2 | 1.578 |
| 3 | 0.492 |
| 4 | 1.086 |